1.
{"formula": "SbOs", "functional": "PBE", "state": "relaxed", "volume_a3_per_fu": 58.00, "energy_ev_per_atom": -7.10, "sg": "P6_3/m", "formation_energy_uncorrected_kcal_per_mol_atoms": 13.305, "lattice_angstrom": [[9.971, 0.000, 0.000], [-4.986, 8.635, 0.000], [0.000, 0.000, 4.042]], "species": ["Sb", "Sb", "Sb", "Sb", "Sb", "Sb", "Os", "Os", "Os", "Os", "Os", "Os"], "frac_coords": [[0.849, 0.607, 0.250], [0.607, 0.757, 0.750], [0.757, 0.151, 0.250], [0.393, 0.243, 0.250], [0.243, 0.849, 0.750], [0.151, 0.393, 0.750], [0.574, 0.566, 0.250], [0.434, 0.008, 0.250], [0.992, 0.426, 0.250], [0.426, 0.434, 0.750], [0.008, 0.574, 0.750], [0.566, 0.992, 0.750]]}

---

2.
{"formula": "SrLi3Bi2", "functional": "PBE", "state": "relaxed", "volume_a3_per_fu": 156.77, "energy_ev_per_atom": -3.13, "formation_enthalpy_0k_ev_per_atom": -0.598, "sg": "C2/m", "lattice_angstrom": [[4.701, 0.000, 1.294], [1.221, 7.584, 4.749], [0.044, 0.375, 9.024]], "species": ["Sr", "Sr", "Li", "Li", "Li", "Li", "Li", "Li", "Bi", "Bi", "Bi", "Bi"], "frac_coords": [[0.865, 0.135, 0.136], [0.135, 0.865, 0.864], [0.673, 0.133, 0.521], [0.673, 0.521, 0.132], [0.327, 0.479, 0.868], [0.000, 0.656, 0.343], [0.000, 0.344, 0.657], [0.327, 0.867, 0.479], [0.808, 0.692, 0.692], [0.500, 0.180, 0.820], [0.192, 0.308, 0.308], [0.500, 0.820, 0.180]]}

---

3.
{"formula": "CaCr2I", "functional": "PBE", "state": "relaxed", "e_above_lowest_polymorph_ev_per_atom": 0.170, "volume_a3_per_fu": 103.79, "energy_ev_per_atom": -4.83, "sg": "Fm-3m", "formation_energy_uncorrected_kcal_per_mol_atoms": 20.000, "lattice_angstrom": [[0.000, 3.730, 3.730], [3.730, 0.000, 3.730], [3.730, 3.730, 0.000]], "species": ["Cr", "Cr", "I", "Ca"], "frac_coords": [[0.250, 0.250, 0.250], [0.750, 0.750, 0.750], [0.500, 0.500, 0.500], [0.000, 0.000, 0.000]]}

---

4.
{"formula": "ScAg2Pt2", "functional": "PBE", "state": "relaxed", "e_above_lowest_polymorph_ev_per_atom": 0.152, "volume_a3_per_fu": 90.33, "energy_ev_per_atom": -5.03, "formation_enthalpy_0k_ev_per_atom": -0.208, "sg": "P4/mbm", "lattice_angstrom": [[-4.775, -0.744, 5.864], [4.616, -5.178, 3.102], [1.520, 2.269, 1.526]], "species": ["Ag", "Ag", "Ag", "Ag", "Sc", "Sc", "Pt", "Pt", "Pt", "Pt"], "frac_coords": [[0.126, 0.374, 0.000], [0.626, 0.126, 0.000], [0.374, 0.874, 0.000], [0.874, 0.626, 0.000], [0.000, 0.000, 0.000], [0.500, 0.500, 0.000], [0.673, 0.827, 0.500], [0.327, 0.173, 0.500], [0.173, 0.673, 0.500], [0.827, 0.327, 0.500]]}

---

5.
{"formula": "LiFe2Te", "functional": "PBE", "state": "relaxed", "volume_a3_per_fu": 70.26, "energy_ev_per_atom": -5.19, "sg": "R3m", "formation_energy_uncorrected_kcal_per_mol_atoms": 7.145, "lattice_angstrom": [[-4.007, 5.364, 4.344], [-4.561, 2.640, 5.994], [-1.825, 4.293, 6.476]], "species": ["Te", "Li", "Fe", "Fe"], "frac_coords": [[0.739, 0.739, 0.739], [0.507, 0.507, 0.507], [0.262, 0.262, 0.262], [0.993, 0.993, 0.993]]}

---

6.
{"formula": "NaAgW", "functional": "PBE", "state": "relaxed", "e_above_lowest_polymorph_ev_per_atom": 0.000, "volume_a3_per_fu": 58.83, "energy_ev_per_atom": -5.12, "formation_enthalpy_0k_ev_per_atom": 0.583, "sg": "Pnma", "lattice_angstrom": [[-4.625, 5.917, 2.411], [0.594, -0.686, 2.822], [7.900, 6.234, -0.146]], "species": ["Na", "Na", "Na", "Na", "Ag", "Ag", "Ag", "Ag", "W", "W", "W", "W"], "frac_coords": [[0.853, 0.250, 0.415], [0.647, 0.750, 0.915], [0.147, 0.750, 0.585], [0.353, 0.250, 0.085], [0.161, 0.750, 0.290], [0.661, 0.750, 0.210], [0.839, 0.250, 0.710], [0.339, 0.250, 0.790], [0.545, 0.750, 0.591], [0.955, 0.250, 0.091], [0.455, 0.250, 0.409], [0.045, 0.750, 0.909]]}

---

7.
{"formula": "CdCo3H", "functional": "PBE", "state": "relaxed", "e_above_lowest_polymorph_ev_per_atom": 0.000, "volume_a3_per_fu": 53.67, "energy_ev_per_atom": -4.89, "sg": "Pm-3m", "lattice_angstrom": [[-0.542, 3.327, 1.693], [-3.590, 0.005, -1.159], [-1.024, -1.777, 3.166]], "species": ["Co", "Co", "Co", "Cd", "H"], "frac_coords": [[0.000, 0.500, 0.000], [0.000, 0.000, 0.500], [0.500, 0.000, 0.000], [0.500, 0.500, 0.500], [0.000, 0.000, 0.000]]}

---

8.
{"formula": "LaTmSn4Ru2", "functional": "PBE", "state": "relaxed", "volume_a3_per_fu": 202.53, "energy_ev_per_atom": -5.80, "formation_enthalpy_0k_ev_per_atom": -0.301, "sg": "P4/mmm", "lattice_angstrom": [[4.487, 0.000, 0.000], [0.000, 4.487, 0.000], [0.000, 0.000, 10.061]], "species": ["Sn", "Sn", "Sn", "Sn", "Ru", "Ru", "La", "Tm"], "frac_coords": [[0.500, 0.000, 0.775], [0.000, 0.500, 0.775], [0.000, 0.500, 0.225], [0.500, 0.000, 0.225], [0.500, 0.500, 0.616], [0.500, 0.500, 0.384], [0.000, 0.000, 0.500], [0.000, 0.000, 0.000]]}

---

9.
{"formula": "TaTl3Au", "functional": "PBE", "state": "relaxed", "e_above_lowest_polymorph_ev_per_atom": 0.000, "volume_a3_per_fu": 166.56, "energy_ev_per_atom": -3.50, "formation_enthalpy_0k_ev_per_atom": 0.941, "sg": "Pm-3m", "lattice_angstrom": [[-2.582, -0.286, -4.850], [-4.259, -2.511, 2.415], [-2.339, 4.888, 0.957]], "species": ["Tl", "Tl", "Tl", "Ta", "Au"], "frac_coords": [[0.500, 0.000, 0.000], [0.000, 0.500, 0.000], [0.000, 0.000, 0.500], [0.000, 0.000, 0.000], [0.500, 0.500, 0.500]]}